A plane-wave DFT calculation with PBE-GGA was carried out for crystalline GaIr2F at its relaxed geometry.

Unit cell a=4.241 b=4.241 c=4.241 alpha=60.00 beta=60.00 gamma=60.00
Element x y z (fractional)
Ir  0.250  0.250  0.250
Ir  0.750  0.750  0.750
Ga  0.500  0.500  0.500
F  0.000  0.000  0.000

## Properties
- polymorph energy (0 for the lowest one) (eV per atom) = 0.144
- space group = Fm-3m
- calculated total energy (eV/atom) = -5.550
- formation energy from raw total energies (eV/f.u.) = 0.42

A plane-wave DFT calculation with PBE-GGA was carried out for crystalline GaIrF2 at its relaxed geometry.

Unit cell a=4.232 b=4.232 c=4.232 alpha=60.00 beta=60.00 gamma=60.00
Element x y z (fractional)
Ir  0.500  0.500  0.500
Ga  0.000  0.000  0.000
F  0.250  0.250  0.250
F  0.750  0.750  0.750

## Properties
- polymorph energy (0 for the lowest one) (eV per atom) = 0.782
- space group = Fm-3m
- calculated total energy (eV/atom) = -4.073
- formation energy from raw total energies (eV/f.u.) = -0.66

A plane-wave DFT calculation with PBE-GGA was carried out for crystalline GaIrF2 at its relaxed geometry.

Unit cell a=8.159 b=8.159 c=8.159 alpha=19.35 beta=19.35 gamma=19.35
Element x y z (fractional)
Ir  0.000  0.000  0.000
Ga  0.500  0.500  0.500
F  0.917  0.917  0.917
F  0.083  0.083  0.083

## Properties
- polymorph energy (0 for the lowest one) (eV per atom) = 0.000
- space group = R-3m
- calculated total energy (eV/atom) = -4.855
- formation energy from raw total energies (eV/f.u.) = -3.79

A plane-wave DFT calculation with PBE-GGA was carried out for crystalline GaIr2F at its relaxed geometry.

Unit cell a=8.091 b=8.091 c=6.089 alpha=48.36 beta=48.36 gamma=90.00
Element x y z (fractional)
Ir  0.695  0.125  0.250
Ir  0.055  0.625  0.250
Ir  0.375  0.305  0.750
Ir  0.875  0.945  0.750
Ga  0.000  0.000  0.000
Ga  0.750  0.250  0.500
F  0.500  0.500  0.000
F  0.250  0.750  0.500

## Properties
- polymorph energy (0 for the lowest one) (eV per atom) = 0.000
- space group = I-42d
- calculated total energy (eV/atom) = -5.695
- formation energy from raw total energies (eV/f.u.) = -0.16

A plane-wave DFT calculation with PBE-GGA was carried out for crystalline GaIrF3 at its relaxed geometry.

Unit cell a=4.082 b=4.082 c=4.082 alpha=90.00 beta=90.00 gamma=90.00
Element x y z (fractional)
Ir  0.500  0.500  0.500
Ga  0.000  0.000  0.000
F  0.000  0.500  0.000
F  0.000  0.000  0.500
F  0.500  0.000  0.000

## Properties
- space group = Pm-3m
- calculated total energy (eV/atom) = -4.037
- formation energy from raw total energies (eV/f.u.) = -2.68